A relaxed structure of SrMnIr. Source: the Alexandria database, functional PBE-GGA.

Cell: 4.266 4.266 7.470 Å, 90.00 90.00 90.00°
Sites, in units of the cell vectors:
Sr1 0.250 0.250 0.160
Sr2 0.750 0.750 0.840
Mn1 0.250 0.750 0.500
Mn2 0.750 0.250 0.500
Ir1 0.250 0.250 0.694
Ir2 0.750 0.750 0.306

total energy	-6.64	eV per atom
calculated formation energy	-67	meV per atom
M_tot	4.27	μB per formula unit
distance to the lowest polymorph of the same formula	0	meV/atom

=====

A relaxed structure of Sr2MnIr2. Source: the Alexandria database, functional PBE-GGA.

Cell: 6.504 6.504 5.044 Å, 90.00 90.00 90.00°
Sites, in units of the cell vectors:
Sr1 0.180 0.320 0.000
Sr2 0.320 0.820 0.000
Sr3 0.680 0.180 0.000
Sr4 0.820 0.680 0.000
Mn1 0.000 0.000 0.500
Mn2 0.500 0.500 0.500
Ir1 0.139 0.639 0.500
Ir2 0.361 0.139 0.500
Ir3 0.639 0.861 0.500
Ir4 0.861 0.361 0.500

total energy	-5.88	eV per atom
calculated formation energy	172	meV per atom
M_tot	0.00	μB per formula unit

=====

A relaxed structure of SrMnIr. Source: the Alexandria database, functional PBE-GGA.

Cell: 4.262 11.179 5.087 Å, 90.00 90.00 90.00°
Sites, in units of the cell vectors:
Sr1 0.000 0.223 0.250
Sr2 0.000 0.777 0.750
Sr3 0.500 0.277 0.750
Sr4 0.500 0.723 0.250
Mn1 0.000 0.500 0.000
Mn2 0.000 0.500 0.500
Mn3 0.500 0.000 0.000
Mn4 0.500 0.000 0.500
Ir1 0.000 0.040 0.750
Ir2 0.000 0.960 0.250
Ir3 0.500 0.460 0.250
Ir4 0.500 0.540 0.750

total energy	-6.45	eV per atom
calculated formation energy	121	meV per atom
M_tot	0.02	μB per formula unit
distance to the lowest polymorph of the same formula	188	meV/atom

=====

A relaxed structure of SrMnIr. Source: the Alexandria database, functional PBE-GGA.

Cell: 5.022 4.359 5.857 Å, 90.00 108.64 90.00°
Sites, in units of the cell vectors:
Sr1 0.000 0.000 0.000
Sr2 0.499 0.500 0.058
Mn1 0.131 0.500 0.495
Mn2 0.846 0.000 0.482
Ir1 0.369 0.000 0.575
Ir2 0.690 0.500 0.592

total energy	-6.40	eV per atom
calculated formation energy	170	meV per atom
M_tot	0.00	μB per formula unit
distance to the lowest polymorph of the same formula	238	meV/atom

=====

A relaxed structure of SrMn3Ir. Source: the Alexandria database, functional PBE-GGA.

Cell: 4.945 4.945 4.945 Å, 90.00 90.00 90.00°
Sites, in units of the cell vectors:
Sr1 0.000 0.000 0.000
Mn1 0.000 0.500 0.500
Mn2 0.500 0.000 0.500
Mn3 0.500 0.500 0.000
Ir1 0.500 0.500 0.500

total energy	-7.12	eV per atom
calculated formation energy	491	meV per atom
M_tot	12.95	μB per formula unit
distance to the lowest polymorph of the same formula	0	meV/atom

=====

A relaxed structure of SrMnIr. Source: the Alexandria database, functional PBE-GGA.

Cell: 3.234 3.662 11.020 Å, 90.00 90.00 90.00°
Sites, in units of the cell vectors:
Sr1 0.000 0.000 0.000
Sr2 0.500 0.500 0.500
Mn1 0.000 0.000 0.278
Mn2 0.500 0.500 0.778
Ir1 0.000 0.000 0.707
Ir2 0.500 0.500 0.207

total energy	-6.43	eV per atom
calculated formation energy	144	meV per atom
M_tot	3.80	μB per formula unit
distance to the lowest polymorph of the same formula	211	meV/atom

=====

A relaxed structure of SrMnIr. Source: the Alexandria database, functional PBE-GGA.

Cell: 11.606 4.058 7.496 Å, 90.00 128.36 90.00°
Sites, in units of the cell vectors:
Sr1 0.000 0.000 0.000
Sr2 0.152 0.000 0.587
Sr3 0.500 0.500 0.000
Sr4 0.652 0.500 0.587
Mn1 0.332 0.000 0.187
Mn2 0.445 0.000 0.601
Mn3 0.832 0.500 0.187
Mn4 0.945 0.500 0.601
Ir1 0.187 0.500 0.952
Ir2 0.319 0.500 0.402
Ir3 0.687 0.000 0.952
Ir4 0.819 0.000 0.402

total energy	-6.59	eV per atom
calculated formation energy	-21	meV per atom
M_tot	0.81	μB per formula unit
distance to the lowest polymorph of the same formula	46	meV/atom

=====

A relaxed structure of SrMnIr. Source: the Alexandria database, functional PBE-GGA.

Cell: 5.629 14.694 3.049 Å, 90.00 90.06 90.00°
Sites, in units of the cell vectors:
Sr1 0.000 0.187 0.000
Sr2 0.000 0.813 0.000
Sr3 0.500 0.313 0.000
Sr4 0.500 0.687 0.000
Mn1 0.234 0.500 0.999
Mn2 0.266 0.000 0.001
Mn3 0.734 0.000 0.999
Mn4 0.766 0.500 0.001
Ir1 0.000 0.384 0.500
Ir2 0.000 0.616 0.500
Ir3 0.500 0.116 0.500
Ir4 0.500 0.884 0.500

total energy	-6.36	eV per atom
calculated formation energy	209	meV per atom
M_tot	4.31	μB per formula unit
distance to the lowest polymorph of the same formula	276	meV/atom

=====

A relaxed structure of SrMnIr. Source: the Alexandria database, functional PBE-GGA.

Cell: 15.676 3.242 5.110 Å, 90.00 90.48 90.00°
Sites, in units of the cell vectors:
Sr1 0.000 0.000 0.000
Sr2 0.175 0.000 0.518
Sr3 0.500 0.500 0.000
Sr4 0.675 0.500 0.518
Mn1 0.343 0.000 0.250
Mn2 0.362 0.500 0.526
Mn3 0.843 0.500 0.250
Mn4 0.862 0.000 0.526
Ir1 0.289 0.500 0.937
Ir2 0.488 0.000 0.497
Ir3 0.789 0.000 0.937
Ir4 0.988 0.500 0.497

total energy	-6.26	eV per atom
calculated formation energy	309	meV per atom
M_tot	0.00	μB per formula unit
distance to the lowest polymorph of the same formula	377	meV/atom

=====

A relaxed structure of SrMnIr. Source: the Alexandria database, functional PBE-GGA.

Cell: 5.119 4.591 5.947 Å, 90.00 103.77 90.00°
Sites, in units of the cell vectors:
Sr1 0.225 0.250 0.422
Sr2 0.775 0.750 0.578
Mn1 0.358 0.750 0.991
Mn2 0.642 0.250 0.009
Ir1 0.123 0.250 0.922
Ir2 0.877 0.750 0.078

total energy	-6.58	eV per atom
calculated formation energy	-10	meV per atom
M_tot	3.42	μB per formula unit
distance to the lowest polymorph of the same formula	58	meV/atom

=====

A relaxed structure of SrMnIr. Source: the Alexandria database, functional PBE-GGA.

Cell: 4.109 5.785 6.296 Å, 89.27 71.10 69.26°
Sites, in units of the cell vectors:
Sr1 0.216 0.217 0.353
Sr2 0.784 0.783 0.647
Mn1 0.054 0.825 0.067
Mn2 0.946 0.175 0.933
Ir1 0.377 0.374 0.873
Ir2 0.623 0.626 0.127

total energy	-6.45	eV per atom
calculated formation energy	124	meV per atom
M_tot	1.15	μB per formula unit
distance to the lowest polymorph of the same formula	191	meV/atom

=====

A relaxed structure of SrMnIr. Source: the Alexandria database, functional PBE-GGA.

Cell: 5.284 5.284 8.825 Å, 90.00 90.00 120.00°
Sites, in units of the cell vectors:
Sr1 0.333 0.667 0.250
Sr2 0.667 0.333 0.750
Mn1 0.000 0.000 0.250
Mn2 0.000 0.000 0.750
Ir1 0.000 0.000 0.000
Ir2 0.000 0.000 0.500

total energy	-5.47	eV per atom
calculated formation energy	1102	meV per atom
M_tot	3.51	μB per formula unit
distance to the lowest polymorph of the same formula	1169	meV/atom

=====

Question: What is the calculated formation energy in the second record?
Answer: 172 meV per atom